[1]
Entry from OQMD via LeMat-Bulk: a relaxed Al24Ni5 crystal (PBE-GGA).

a = 9.703 Å, b = 9.703 Å, c = 9.703 Å
α = 90.00°, β = 90.00°, γ = 90.00°
Space group I-43m (No. 217)
Unique sites:
Al 0.061 0.361 0.639 [24 per cell]
Al 0.092 0.092 0.720 [24 per cell]
Ni 0.000 0.000 0.000 [2 per cell]
Ni 0.147 0.147 0.147 [8 per cell]

Total magnetic moment, μB/cell: 0.01
E_tot, eV per atom: -4.025



[2]
Entry from OQMD via LeMat-Bulk: a relaxed Al17Ni12 crystal (PBE-GGA).

a = 9.142 Å, b = 9.142 Å, c = 9.142 Å
α = 90.00°, β = 90.00°, γ = 90.00°
Space group I-43m (No. 217)
Unique sites:
Al 0.000 0.000 0.000 [2 per cell]
Al 0.100 0.100 0.693 [24 per cell]
Al 0.182 0.182 0.182 [8 per cell]
Ni 0.059 0.364 0.636 [24 per cell]

Excess energy over the best structure of this formula in the dataset, meV/atom: 40
Total magnetic moment, μB/cell: 0.00
E_tot, eV per atom: -4.857



[3]
Entry from OQMD via LeMat-Bulk: a relaxed Al3Ni10 crystal (PBE-GGA).

a = 4.6241 Å, b = 4.6241 Å, c = 24.7197 Å
α = 90.00°, β = 90.00°, γ = 120.00°
Space group R-3m (No. 166, hexagonal axes)
Unique sites:
Al 0.0000 0.0000 0.0000 [3 per cell]
Al 0.0000 0.0000 0.4476 [6 per cell]
Ni 0.0000 0.0000 0.1654 [6 per cell]
Ni 0.0000 0.0000 0.3465 [6 per cell]
Ni 0.0042 0.5021 0.4116 [18 per cell]

Excess energy over the best structure of this formula in the dataset, meV/atom: 12
Total magnetic moment, μB/cell: 0.05
E_tot, eV per atom: -5.339



[4]
Entry from OQMD via LeMat-Bulk: a relaxed Al5Ni8 crystal (PBE-GGA).

a = 4.8147 Å, b = 4.8147 Å, c = 23.6642 Å
α = 90.00°, β = 90.00°, γ = 120.00°
Space group R-3m (No. 166, hexagonal axes)
Unique sites:
Al 0.0000 0.0000 0.0000 [3 per cell]
Al 0.0000 0.0000 0.1648 [6 per cell]
Al 0.0000 0.0000 0.3531 [6 per cell]
Ni 0.0000 0.0000 0.4519 [6 per cell]
Ni 0.0070 0.5035 0.4118 [18 per cell]

Excess energy over the best structure of this formula in the dataset, meV/atom: 32
Total magnetic moment, μB/cell: 0.02
E_tot, eV per atom: -5.237